The following is a GGA-PBE calculation of a relaxed structure of RbAlCrS4, from Alexandria via LeMat-Bulk.

Properties
formation energy without anion corrections = -827 meV per atom
energy = -5.23 eV per atom
symmetry = No. 11

a b c (Å): 6.233 6.474 8.339
angles (deg): 90.00 94.08 90.00
Sites, in units of the cell vectors:
1 Rb 0.221 0.250 0.064
2 Rb 0.779 0.750 0.936
3 Al 0.358 0.250 0.637
4 Al 0.642 0.750 0.363
5 Cr 0.165 0.750 0.463
6 Cr 0.835 0.250 0.537
7 S 0.092 0.008 0.666
8 S 0.092 0.492 0.666
9 S 0.338 0.750 0.207
10 S 0.498 0.750 0.598
11 S 0.502 0.250 0.402
12 S 0.662 0.250 0.793
13 S 0.908 0.508 0.334
14 S 0.908 0.992 0.334